First-principles (PBE) data for a relaxed TcS2 crystal, as listed in the Open Quantum Materials Database.

The structure in POSCAR format:
```
TcS2
1.0
1.640 0.947 6.231
-1.640 0.947 6.231
0.000 -1.894 6.231
Tc S
1 2
Cartesian
0.000 0.000 0.000
0.000 0.000 4.775
0.000 0.000 7.688
```

Computed properties:
SG: R3m, No. 160
ΔE to the lowest computed polymorph, meV/atom: 143

First-principles (PBE) data for a relaxed TcS2 crystal, as listed in the Open Quantum Materials Database.

The structure in POSCAR format:
```
TcS2
1.0
1.639 -2.839 0.000
1.639 2.839 0.000
0.000 0.000 34.781
Tc S
4 8
Cartesian
0.788 0.003 14.237
0.788 -0.003 20.544
2.491 0.003 3.154
2.491 -0.003 31.628
0.851 0.943 30.172
0.851 0.943 33.079
0.851 -0.943 4.609
0.851 -0.943 1.703
2.428 0.943 19.093
2.428 0.943 21.999
2.428 -0.943 15.688
2.428 -0.943 12.782
```

Computed properties:
SG: C222_1, No. 20
ΔE to the lowest computed polymorph, meV/atom: 143